AcTcMoO6 | PBE with a Hubbard U | relaxed Values from VASP.

Summary:
Calculated density in Mg/m³: 7.2
Total energy in eV/cell: -136.6

Cell and atoms, written as Quantum ESPRESSO input:
```
&SYSTEM
  ibrav = 0, nat = 18, ntyp = 4
/
ATOMIC_SPECIES
Ac 227.00 Ac.upf
Tc 98.00 Tc.upf
Mo 95.94 Mo.upf
O 16.00 O.upf
ATOMIC_POSITIONS angstrom
Ac -2.8115 -0.3849 2.6818
Ac -1.4586 3.4746 6.2675
Tc -2.0154 2.6766 2.0047
Tc -2.2547 0.4131 6.9446
Mo 0.0000 0.0000 0.0000
Mo 0.5568 0.7980 4.2628
O -3.4625 1.5684 1.2307
O -2.3232 4.0547 0.6164
O -3.3101 -1.0841 6.1922
O -1.9469 -0.9651 8.3329
O -1.1800 1.4323 3.2990
O -3.4703 3.0485 3.2956
O -3.5736 1.3079 8.1198
O -0.9600 4.1737 2.7570
O -0.7998 0.0412 5.6537
O -0.6965 1.7818 0.8294
O -3.0901 1.6574 5.6503
O -0.8076 1.5213 7.7186
CELL_PARAMETERS angstrom
-1.4978 5.3390 -0.8039
-3.8860 -3.8454 1.2275
1.1136 1.5960 8.5256
```